Eu2AgPd | GGA-PBEsol | optimized geometry

## Properties
**Formation energy from the elements**: -453 meV per atom
**Volume**: 95 Å³/f.u.
**Electronic total energy**: -128.829 eV/cell

Cell: 7.237 7.237 7.237 Å, 90.00 90.00 90.00°
Space group Fm-3m (No. 225)
Inequivalent atoms, fractional coordinates:
1 Eu 0.250 0.250 0.250 x8
2 Ag 0.000 0.000 0.000 x4
3 Pd 0.000 0.000 0.500 x4